{
  "formula": "AlAu3",
  "functional": "PBEsol",
  "state": "optimized geometry",
  "cell": [[4.809, -1.644, 0.000], [4.809, 1.644, 0.000], [-1.575, 0.000, 4.159]],
  "species": ["Al", "Au", "Au", "Au"],
  "fractional_positions": [[0.000, 0.000, 0.000], [0.275, 0.275, 0.771], [0.500, 0.500, 0.500], [0.725, 0.725, 0.229]],
  "e_form_ev_per_atom": -0.254,
  "volume_a3_per_cell": 66,
  "energy_ev_per_cell": -16.9,
  "magmom_total_mub_per_atom": 0.00
}